[1]
Eu2NiBr, optimized geometry, DFT PBE-GGA; total magnetization = 3.6016 μB/atom; DOS at the Fermi energy = 19.304 states/eV/cell; total DFT energy (no corrections) = -7.777 eV/atom; energy above the most stable polymorph in this dataset = 0.0 kJ/mol of atoms
1.0
-3.585 1.986 -0.357
-2.123 -0.203 -3.518
-5.641 -5.684 1.327
Eu Ni Br
2 1 1
Direct
0.736 0.736 0.793 Eu
0.264 0.264 0.207 Eu
0.000 0.000 0.000 Ni
0.500 0.500 0.500 Br

[2]
EuNpBr2, optimized geometry, DFT PBE-GGA; total magnetization = 0.2830 μB/atom; DOS at the Fermi energy = 11.073 states/eV/cell; total DFT energy (no corrections) = -7.125 eV/atom
1.0
-1.418 2.749 -4.270
-4.913 -0.389 -1.874
-3.328 4.062 0.465
Np Eu Br
1 1 2
Direct
0.000 0.000 0.000 Np
0.500 0.500 0.500 Eu
0.250 0.250 0.250 Br
0.750 0.750 0.750 Br

[3]
Eu2BrO2, optimized geometry, DFT PBE-GGA; total magnetization = 2.6000 μB/atom; DOS at the Fermi energy = 31.417 states/eV/cell; total DFT energy (no corrections) = -9.120 eV/atom
1.0
6.807 0.004 0.059
5.622 3.836 0.059
5.092 1.573 8.211
Eu Br O
4 2 4
Direct
0.340 0.340 0.552 Eu
0.049 0.049 0.199 Eu
0.951 0.951 0.801 Eu
0.660 0.660 0.448 Eu
0.670 0.670 0.880 Br
0.330 0.330 0.120 Br
0.146 0.146 0.577 O
0.854 0.854 0.423 O
0.552 0.552 0.316 O
0.448 0.448 0.684 O

[4]
Eu4Br6O, optimized geometry, DFT PBE-GGA; total magnetization = 2.5455 μB/atom; total DFT energy (no corrections) = -7.293 eV/atom
1.0
9.889 0.000 0.000
-4.944 8.564 0.000
0.000 0.000 7.565
Eu Br O
8 12 2
Direct
0.403 0.201 0.501 Eu
0.597 0.799 0.001 Eu
0.333 0.667 0.414 Eu
0.201 0.799 0.001 Eu
0.667 0.333 0.914 Eu
0.799 0.597 0.501 Eu
0.799 0.201 0.501 Eu
0.201 0.403 0.001 Eu
0.535 0.465 0.206 Br
0.721 0.860 0.384 Br
0.930 0.465 0.206 Br
0.140 0.279 0.384 Br
0.070 0.535 0.706 Br
0.535 0.070 0.206 Br
0.279 0.140 0.884 Br
0.140 0.860 0.384 Br
0.465 0.535 0.706 Br
0.465 0.930 0.706 Br
0.860 0.140 0.884 Br
0.860 0.721 0.884 Br
0.333 0.667 0.101 O
0.667 0.333 0.601 O

[5]
EuBr2O, optimized geometry, DFT PBE-GGA; total magnetization = 1.2531 μB/atom; DOS at the Fermi energy = 23.687 states/eV/cell; total DFT energy (no corrections) = -6.048 eV/atom
1.0
-0.369 -4.223 0.019
6.698 -0.559 5.704
-7.245 0.672 8.574
Eu Br O
4 8 4
Direct
0.250 0.631 0.320 Eu
0.750 0.369 0.680 Eu
0.750 0.131 0.180 Eu
0.250 0.869 0.820 Eu
0.250 0.404 0.114 Br
0.750 0.596 0.886 Br
0.750 0.904 0.386 Br
0.250 0.096 0.614 Br
0.250 0.637 0.594 Br
0.750 0.363 0.406 Br
0.750 0.137 0.906 Br
0.250 0.863 0.094 Br
0.250 0.156 0.231 O
0.750 0.844 0.769 O
0.750 0.656 0.269 O
0.250 0.344 0.731 O

[6]
EuBrO2, optimized geometry, DFT PBE-GGA; total magnetization = 0.9975 μB/atom; DOS at the Fermi energy = 7.129 states/eV/cell; total DFT energy (no corrections) = -6.776 eV/atom; energy above the most stable polymorph in this dataset = 37.4 kJ/mol of atoms
1.0
-0.123 -3.674 0.554
0.340 0.958 6.428
-6.114 1.053 5.623
Eu Br O
2 2 4
Direct
0.750 0.750 0.500 Eu
0.250 0.250 0.500 Eu
0.750 0.250 0.000 Br
0.250 0.750 0.000 Br
0.750 0.528 0.366 O
0.250 0.472 0.634 O
0.750 0.971 0.634 O
0.250 0.029 0.366 O

[7]
Eu3BrO4, optimized geometry, DFT PBE-GGA; total magnetization = 0.7124 μB/atom; DOS at the Fermi energy = 49.939 states/eV/cell; total DFT energy (no corrections) = -9.068 eV/atom
1.0
6.482 -0.003 0.000
-5.137 3.954 0.000
0.000 0.000 11.886
Eu Br O
6 2 8
Direct
0.822 0.178 0.401 Eu
0.178 0.822 0.599 Eu
0.178 0.822 0.901 Eu
0.822 0.178 0.099 Eu
0.878 0.122 0.750 Eu
0.122 0.878 0.250 Eu
0.500 0.500 0.000 Br
0.500 0.500 0.500 Br
0.303 0.697 0.750 O
0.697 0.303 0.250 O
0.066 0.934 0.750 O
0.934 0.066 0.250 O
0.765 0.235 0.912 O
0.235 0.765 0.088 O
0.235 0.765 0.412 O
0.765 0.235 0.588 O

[8]
EuBrO2, optimized geometry, DFT PBE-GGA; total magnetization = 1.4989 μB/atom; DOS at the Fermi energy = 3.816 states/eV/cell; total DFT energy (no corrections) = -7.164 eV/atom; energy above the most stable polymorph in this dataset = 0.0 kJ/mol of atoms
1.0
3.800 0.000 0.000
1.900 3.291 0.000
1.900 1.097 6.091
Eu O Br
1 2 1
Direct
0.500 0.500 0.500 Eu
0.113 0.113 0.662 O
0.887 0.887 0.338 O
0.000 0.000 0.000 Br

These records have formation energy (no corrections) values of -0.776, -0.484, -2.693, -2.194, -1.404, -1.310, -2.526, -1.698 eV/atom, in the order they appear.